TaGa3Rh: relaxed, PBE-GGA.

Lattice parameters (Å, degrees): 4.636 4.636 4.636 90.00 90.00 90.00
Space group Pm-3m (No. 221)
Asymmetric unit:
Ta 0.000 0.000 0.000 [1 per cell]
Ga 0.000 0.500 0.500 [3 per cell]
Rh 0.500 0.500 0.500 [1 per cell]

=====

Ta4GaRh5: relaxed, PBE-GGA.

Lattice parameters (Å, degrees): 2.875 3.784 14.402 90.00 90.00 90.00
Space group Pmmm (No. 47)
Asymmetric unit:
Ta 0.000 0.000 0.099 [2 per cell]
Ta 0.000 0.000 0.302 [2 per cell]
Ga 0.000 0.000 0.500 [1 per cell]
Rh 0.500 0.500 0.000 [1 per cell]
Rh 0.500 0.500 0.202 [2 per cell]
Rh 0.500 0.500 0.404 [2 per cell]

=====

TaGa2Rh2: relaxed, PBE-GGA.

Lattice parameters (Å, degrees): 7.274 7.274 2.895 90.00 90.00 90.00
Space group P4/mbm (No. 127)
Asymmetric unit:
Ta 0.000 0.000 0.000 [2 per cell]
Ga 0.160 0.340 0.500 [4 per cell]
Rh 0.139 0.639 0.000 [4 per cell]

=====

Ta2Ga2Rh: relaxed, PBE-GGA.

Lattice parameters (Å, degrees): 6.369 6.369 3.991 90.00 90.00 90.00
Space group P4/mbm (No. 127)
Asymmetric unit:
Ta 0.163 0.337 0.000 [4 per cell]
Ga 0.139 0.639 0.500 [4 per cell]
Rh 0.000 0.000 0.500 [2 per cell]

=====

Raw total energy list, top to bottom, in eV/atom: -5.080, -9.226, -6.899, -7.706
DOS at the Fermi energy list, top to bottom, in states/eV per cell: 6.09, 7.72, 9.33, 4.64
E_form list, top to bottom, in eV per atom: 0.58, -0.51, -0.38, -0.28